Record 1
# Y3HoIr

A relaxed structure of Y3HoIr (PBE-GGA, Alexandria).

Cell: 5.436 5.436 5.436 Å, 90.00 90.00 90.00°
Space group Pm-3m (No. 221)
Inequivalent atoms, fractional coordinates:
1 Y 0.000 0.000 0.500 [3 per cell]
2 Ho 0.500 0.500 0.500 [1 per cell]
3 Ir 0.000 0.000 0.000 [1 per cell]

* energy above the most stable polymorph in this dataset: 94.9 meV per atom
* D(E_F): 1.40 states/eV per atom
* calculated volume: 160.7 Å³/cell
* VASP energy: -6.80 eV/atom
* DFT formation energy: -237.5 meV/atom


Record 2
# YHo2Ir2

A relaxed structure of YHo2Ir2 (PBE-GGA, Alexandria).

Cell: 4.7756 4.7756 5.9726 Å, 90.00 90.00 120.00°
Space group P-3m1 (No. 164)
Inequivalent atoms, fractional coordinates:
1 Y 0.0000 0.0000 0.0000 [1 per cell]
2 Ho 0.3333 0.6667 0.6637 [2 per cell]
3 Ir 0.3333 0.6667 0.1722 [2 per cell]

* energy above the most stable polymorph in this dataset: 0.0 meV per atom
* D(E_F): 0.64 states/eV per atom
* calculated volume: 118.0 Å³/cell
* VASP energy: -7.46 eV/atom
* DFT formation energy: -789.1 meV/atom


Record 3
# YHo2Ir3

A relaxed structure of YHo2Ir3 (PBE-GGA, Alexandria).

Cell: 4.8380 4.8380 5.9221 Å, 90.00 90.00 120.00°
Space group P-3m1 (No. 164)
Inequivalent atoms, fractional coordinates:
1 Y 0.0000 0.0000 0.0000 [1 per cell]
2 Ho 0.3333 0.6667 0.6665 [2 per cell]
3 Ir 0.0000 0.0000 0.5000 [1 per cell]
4 Ir 0.3333 0.6667 0.1689 [2 per cell]

* D(E_F): 0.45 states/eV per atom
* calculated volume: 120.0 Å³/cell
* VASP energy: -7.86 eV/atom
* DFT formation energy: -826.3 meV/atom


Record 4
# Y3Ho2Ir2

A relaxed structure of Y3Ho2Ir2 (PBE-GGA, Alexandria).

Cell: 12.065 3.835 8.829 Å, 90.00 115.68 90.00°
Space group C2/m (No. 12)
Inequivalent atoms, fractional coordinates:
1 Y 0.000 0.000 0.000 [2 per cell]
2 Y 0.118 0.000 0.431 [4 per cell]
3 Ho 0.169 0.500 0.809 [4 per cell]
4 Ir 0.179 0.500 0.234 [4 per cell]

* D(E_F): 0.94 states/eV per atom
* calculated volume: 368.1 Å³/cell
* VASP energy: -7.23 eV/atom
* DFT formation energy: -616.5 meV/atom


Record 5
# YHo2Ir

A relaxed structure of YHo2Ir (PBE-GGA, Alexandria).

Cell: 3.7388 3.7388 31.2931 Å, 90.00 90.00 120.00°
Space group R-3m (No. 166, hexagonal axes)
Inequivalent atoms, fractional coordinates:
1 Y 0.0000 0.0000 0.0000 [3 per cell]
2 Ho 0.0000 0.0000 0.1135 [6 per cell]
3 Ir 0.0000 0.0000 0.5000 [3 per cell]

* energy above the most stable polymorph in this dataset: 447.0 meV per atom
* D(E_F): 1.24 states/eV per atom
* calculated volume: 378.8 Å³/cell
* VASP energy: -6.26 eV/atom
* DFT formation energy: -141.3 meV/atom


Record 6
# YHo3Ir

A relaxed structure of YHo3Ir (PBE-GGA, Alexandria).

Cell: 7.577 6.519 6.157 Å, 90.00 90.00 90.00°
Space group Pmn2_1 (No. 31)
Inequivalent atoms, fractional coordinates:
1 Y 0.000 0.151 0.000 [2 per cell]
2 Ho 0.000 0.847 0.493 [2 per cell]
3 Ho 0.250 0.314 0.497 [4 per cell]
4 Ir 0.000 0.502 0.745 [2 per cell]

* energy above the most stable polymorph in this dataset: 0.0 meV per atom
* D(E_F): 1.11 states/eV per atom
* calculated volume: 304.1 Å³/cell
* VASP energy: -6.16 eV/atom
* DFT formation energy: -346.6 meV/atom


Record 7
# YHo2Ir2

A relaxed structure of YHo2Ir2 (PBE-GGA, Alexandria).

Cell: 5.492 4.373 10.390 Å, 90.00 96.62 90.00°
Space group P2_1/m (No. 11)
Inequivalent atoms, fractional coordinates:
1 Y 0.101 0.250 0.291 [2 per cell]
2 Ho 0.249 0.250 0.969 [2 per cell]
3 Ho 0.392 0.250 0.618 [2 per cell]
4 Ir 0.157 0.750 0.476 [2 per cell]
5 Ir 0.267 0.750 0.141 [2 per cell]

* energy above the most stable polymorph in this dataset: 49.0 meV per atom
* D(E_F): 0.51 states/eV per atom
* calculated volume: 247.8 Å³/cell
* VASP energy: -7.41 eV/atom
* DFT formation energy: -740.2 meV/atom


Record 8
# Y2Ho3Ir2

A relaxed structure of Y2Ho3Ir2 (PBE-GGA, Alexandria).

Cell: 11.970 3.853 8.817 Å, 90.00 116.27 90.00°
Space group C2/m (No. 12)
Inequivalent atoms, fractional coordinates:
1 Y 0.166 0.000 0.306 [4 per cell]
2 Ho 0.000 0.500 0.500 [2 per cell]
3 Ho 0.119 0.500 0.932 [4 per cell]
4 Ir 0.175 0.000 0.736 [4 per cell]

* D(E_F): 0.89 states/eV per atom
* calculated volume: 364.6 Å³/cell
* VASP energy: -6.98 eV/atom
* DFT formation energy: -639.7 meV/atom


Record 9
# HoZn6Ir4

A relaxed structure of HoZn6Ir4 (PBE-GGA, Alexandria).

Cell: 6.579 6.579 9.424 Å, 90.00 90.00 90.00°
Space group I-42m (No. 121)
Inequivalent atoms, fractional coordinates:
1 Ho 0.000 0.000 0.000 [2 per cell]
2 Zn 0.000 0.500 0.000 [4 per cell]
3 Zn 0.180 0.180 0.710 [8 per cell]
4 Ir 0.179 0.179 0.432 [8 per cell]

* D(E_F): 0.77 states/eV per atom
* calculated volume: 407.9 Å³/cell
* VASP energy: -4.40 eV/atom
* DFT formation energy: -71.5 meV/atom


Record 10
# Ho4Zn2Ir

A relaxed structure of Ho4Zn2Ir (PBE-GGA, Alexandria).

Cell: 6.950 6.950 6.899 Å, 90.00 90.00 90.00°
Space group I4/mmm (No. 139)
Inequivalent atoms, fractional coordinates:
1 Ho 0.250 0.250 0.250 [8 per cell]
2 Zn 0.000 0.500 0.000 [4 per cell]
3 Ir 0.000 0.000 0.000 [2 per cell]

* D(E_F): 0.74 states/eV per atom
* calculated volume: 333.2 Å³/cell
* VASP energy: -4.66 eV/atom
* DFT formation energy: -411.5 meV/atom


Record 11
# Ho5Zn4Ir

A relaxed structure of Ho5Zn4Ir (PBE-GGA, Alexandria).

Cell: 3.532 3.532 17.575 Å, 90.00 90.00 90.00°
Space group P4/mmm (No. 123)
Inequivalent atoms, fractional coordinates:
1 Ho 0.000 0.000 0.000 [1 per cell]
2 Ho 0.000 0.000 0.203 [2 per cell]
3 Ho 0.000 0.000 0.409 [2 per cell]
4 Zn 0.500 0.500 0.102 [2 per cell]
5 Zn 0.500 0.500 0.302 [2 per cell]
6 Ir 0.500 0.500 0.500 [1 per cell]

* D(E_F): 0.74 states/eV per atom
* calculated volume: 219.3 Å³/cell
* VASP energy: -4.15 eV/atom
* DFT formation energy: -466.7 meV/atom


Record 12
# Ho2ZnIr2

A relaxed structure of Ho2ZnIr2 (PBE-GGA, Alexandria).

Cell: 10.016 5.380 7.846 Å, 90.00 106.56 90.00°
Space group C2/c (No. 15)
Inequivalent atoms, fractional coordinates:
1 Ho 0.145 0.152 0.147 [8 per cell]
2 Zn 0.000 0.359 0.750 [4 per cell]
3 Ir 0.137 0.349 0.515 [8 per cell]

* D(E_F): 0.34 states/eV per atom
* calculated volume: 405.2 Å³/cell
* VASP energy: -6.41 eV/atom
* DFT formation energy: -780.5 meV/atom